1.
GGA-PBE ZrBeW2, relaxed; DFT formation energy = 0.27 eV per atom; calculated volume = 16.474 A^3/atom; symmetry = Pm, No. 6; mass density = 11.79 g/cm3
1.0
2.786 0.000 0.000
0.000 4.343 0.000
-1.103 0.000 5.445
Zr Be W
1 1 2
Direct
0.000 0.000 0.000 Zr
0.692 0.500 0.269 Be
0.315 0.500 0.709 W
0.530 0.000 0.492 W

---

2.
GGA-PBE CaBrCl3, relaxed; E_form (uncorrected) = -1.018 eV per atom; calculated volume = 31.530 A^3/atom; symmetry = Pm-3m, No. 221; mass density = 2.38 g/cm3; energy above the lowest structure with this stoichiometry = 0.000 eV/atom
1.0
5.402 0.000 0.000
0.000 5.402 0.000
0.000 0.000 5.402
Ca Br Cl
1 1 3
Direct
0.000 0.000 0.000 Ca
0.500 0.500 0.500 Br
0.000 0.000 0.500 Cl
0.000 0.500 0.000 Cl
0.500 0.000 0.000 Cl

---

3.
GGA-PBE ReHg2Se2, relaxed; E_form (uncorrected) = 1.069 eV per atom; calculated volume = 22.121 A^3/atom; symmetry = P4/mbm, No. 127; mass density = 11.19 g/cm3; energy above the lowest structure with this stoichiometry = 0.095 eV/atom
1.0
7.486 0.000 0.000
0.000 7.486 0.000
0.000 0.000 3.947
Re Hg Se
2 4 4
Direct
0.000 0.000 0.000 Re
0.500 0.500 0.000 Re
0.141 0.359 0.000 Hg
0.359 0.859 0.000 Hg
0.641 0.141 0.000 Hg
0.859 0.641 0.000 Hg
0.171 0.671 0.500 Se
0.329 0.171 0.500 Se
0.671 0.829 0.500 Se
0.829 0.329 0.500 Se

---

4.
GGA-PBE PbW2Br, relaxed; E_form (uncorrected) = 1.361 eV per atom; calculated volume = 19.409 A^3/atom; symmetry = I-4m2, No. 119; mass density = 14.00 g/cm3; energy above the lowest structure with this stoichiometry = 1.005 eV/atom
1.0
-2.217 2.217 3.949
2.217 -2.217 3.949
2.217 2.217 -3.949
Pb W Br
1 2 1
Direct
0.000 0.000 0.000 Pb
0.250 0.750 0.500 W
0.500 0.500 0.000 W
0.750 0.250 0.500 Br

---

5.
GGA-PBE FeTcPdS2, relaxed; E_form (uncorrected) = 0.898 eV per atom; calculated volume = 16.427 A^3/atom; symmetry = P4/mmm, No. 123; mass density = 6.56 g/cm3
1.0
4.269 0.000 0.000
0.000 4.269 0.000
0.000 0.000 4.507
Fe Tc Pd S
1 1 1 2
Direct
0.000 0.000 0.000 Fe
0.000 0.000 0.500 Tc
0.500 0.500 0.500 Pd
0.000 0.500 0.000 S
0.500 0.000 0.000 S

---

6.
GGA-PBE TbPrEr2, relaxed; DFT formation energy = 0.01 eV per atom; calculated volume = 32.324 A^3/atom; symmetry = P-1, No. 2; mass density = 8.15 g/cm3; energy above the lowest structure with this stoichiometry = 0.000 eV/atom
1.0
3.599 0.000 0.000
0.003 6.214 0.000
1.798 1.012 11.564
Tb Pr Er
2 2 4
Direct
0.061 0.188 0.378 Tb
0.939 0.812 0.622 Tb
0.186 0.893 0.130 Pr
0.814 0.107 0.870 Pr
0.312 0.605 0.874 Er
0.440 0.316 0.621 Er
0.560 0.684 0.379 Er
0.688 0.395 0.126 Er

---

7.
GGA-PBE Li3InPd2, relaxed; DFT formation energy = -0.45 eV per atom; calculated volume = 15.405 A^3/atom; symmetry = Cmmm, No. 65; mass density = 6.26 g/cm3; energy above the lowest structure with this stoichiometry = 0.000 eV/atom
1.0
2.037 -5.777 0.000
2.037 5.777 0.000
0.000 0.000 3.927
Li In Pd
3 1 2
Direct
0.000 0.000 0.000 Li
0.320 0.680 0.000 Li
0.680 0.320 0.000 Li
0.500 0.500 0.500 In
0.164 0.836 0.500 Pd
0.836 0.164 0.500 Pd

---

8.
GGA-PBE Cs2PmPuSe4, relaxed; E_form (uncorrected) = -1.573 eV per atom; calculated volume = 34.543 A^3/atom; symmetry = P2/m, No. 10; mass density = 5.83 g/cm3
1.0
7.573 0.000 0.000
0.000 4.363 0.000
-2.521 0.000 8.363
Cs Pm Pu Se
2 1 1 4
Direct
0.000 0.000 0.000 Cs
0.500 0.500 0.000 Cs
0.000 0.500 0.500 Pm
0.500 0.000 0.500 Pu
0.231 0.000 0.689 Se
0.275 0.500 0.315 Se
0.725 0.500 0.685 Se
0.769 0.000 0.311 Se